SrGePtO5 | PBE-GGA | relaxed

Values from the calculation:
Its crystal system is monoclinic. The calculation puts the formation energy (no corrections) at -1.587 eV/atom. The value obtained for the electronic total energy is -6.229 eV/atom. The calculated volume comes out at 214 Å³/cell. The total moment is 0.0 μB/f.u. The calculation puts the density of states at the Fermi level at 1.2 states/eV/f.u.

a b c (Å): 5.8019 5.8019 7.3888
angles (deg): 104.80 104.80 107.24
With the nearest neighbours (Å) after each atom.
Positions (direct):
Sr 0.3394 0.6606 0.2500  5 O 2.38-2.58
Sr 0.6606 0.3394 0.7500  5 O 2.38-2.58
Ge 0.6941 0.3059 0.2500  4 O 1.78-1.81
Ge 0.3059 0.6941 0.7500  4 O 1.78-1.81
Pt 0.0000 0.0000 0.5000  6 O 2.01-2.08
Pt 0.0000 0.0000 0.0000  6 O 2.01-2.08
O 0.0847 0.9153 0.2500  2 Pt 2.01
O 0.9153 0.0847 0.7500  2 Pt 2.01
O 0.9001 0.3075 0.1075  1 Ge 1.78
O 0.0999 0.6925 0.8925  1 Ge 1.78
O 0.6925 0.0999 0.3925  1 Ge 1.78
O 0.3075 0.9001 0.6075  1 Ge 1.78
O 0.7615 0.6180 0.4281  1 Ge 1.81
O 0.2385 0.3820 0.5719  1 Ge 1.81
O 0.3820 0.2385 0.0719  1 Ge 1.81
O 0.6180 0.7615 0.9281  1 Ge 1.81